Here is a geometry-optimized SnP2Au2 structure from Alexandria. Energies are from PBE.

abc: 4.1089 4.1089 11.8909
angles: 90.00 90.00 90.00
Space group I4/mmm (No. 139)
One atom of each set of equivalent atoms:
Sn  0.0000  0.0000  0.0000 (multiplicity 2)
P  0.0000  0.5000  0.2500 (multiplicity 4)
Au  0.0000  0.0000  0.3849 (multiplicity 4)

Calculated values
- magnetization (μB per formula unit) = 0.0
- E_tot (eV per atom) = -4.01